Entry 1:
A plane-wave DFT calculation with PBE was carried out for a relaxed Na2LiCdBr5 crystal.

Cell: 4.1591 9.0418 14.4704 Å, 90.00 90.00 103.30°
Atoms (fractional coordinates):
Li 0.4131 0.8263 0.4236
Br 0.7320 0.4640 0.8936
Cd 0.7611 0.5221 0.5334
Br 0.2480 0.4961 0.6611
Br 0.3961 0.7922 0.0060
Br 0.5077 0.0153 0.7764
Na 0.9294 0.8587 0.1485
Br 0.2680 0.5360 0.3936
Br 0.7520 0.5039 0.1611
Na 0.0706 0.1413 0.6485
Cd 0.2389 0.4779 0.0334
Br 0.6039 0.2078 0.5060
Br 0.9197 0.8394 0.5256
Na 0.0981 0.1963 0.3558
Br 0.0803 0.1606 0.0256
Br 0.4923 0.9847 0.2764
Li 0.5869 0.1737 0.9236
Na 0.9019 0.8037 0.8558

symmetry	Cmc2_1, No. 36
energy relative to the elements, uncorrected	-1295	meV per atom
total magnetic moment	0.00	μB per formula unit
mass density	3.5	g cm⁻³



Entry 2:
A plane-wave DFT calculation with PBE was carried out for a relaxed Ac2As4Ir3Rh crystal.

Cell: 4.4482 4.4482 10.0190 Å, 90.00 90.00 90.00°
Atoms (fractional coordinates):
Rh 0.5000 0.5000 0.5000
Ir 0.0000 0.5000 0.1154
As 0.5000 0.0000 0.6333
As 0.0000 0.5000 0.3667
As 0.0000 0.0000 0.0000
As 0.5000 0.5000 0.0000
Ac 0.5000 0.0000 0.2461
Ir 0.5000 0.0000 0.8846
Ac 0.0000 0.5000 0.7539
Ir 0.0000 0.0000 0.5000

symmetry	P-4m2, No. 115
energy relative to the elements	-0.800	eV per atom
total magnetic moment	0.45	μB per formula unit
mass density	12.0	g cm⁻³



Entry 3:
A plane-wave DFT calculation with PBE was carried out for a relaxed TeMoS crystal.

Cell: 3.3597 3.3597 39.0484 Å, 90.00 90.00 120.00°
Atoms (fractional coordinates):
Te 0.6667 0.3333 0.0502
S 0.3333 0.6667 0.3223
Te 0.3333 0.6667 0.8529
S 0.6667 0.3333 0.6777
Te 0.6667 0.3333 0.1471
Mo 0.3333 0.6667 0.7164
S 0.3333 0.6667 0.2449
Mo 0.3333 0.6667 0.0986
S 0.6667 0.3333 0.7551
Mo 0.6667 0.3333 0.9014
Mo 0.6667 0.3333 0.2836
Te 0.3333 0.6667 0.9498

symmetry	P-3m1, No. 164
energy relative to the elements, uncorrected	-499	meV per atom
total magnetic moment	0.00	μB per formula unit
mass density	4.4	g cm⁻³



Entry 4:
A plane-wave DFT calculation with PBE was carried out for a relaxed Na3MoS crystal.

Cell: 5.7208 5.7208 5.7208 Å, 90.00 90.00 90.00°
Atoms (fractional coordinates):
Na 0.0000 0.5000 0.0000
Na 0.0000 0.0000 0.5000
S 0.5000 0.5000 0.5000
Mo 0.0000 0.0000 0.0000
Na 0.5000 0.0000 0.0000

symmetry	Pm-3m, No. 221
energy relative to the elements, uncorrected	1171	meV per atom
total magnetic moment	5.00	μB per formula unit
offset from the most stable computed form	734	meV/atom
mass density	1.7	g cm⁻³



Entry 5:
A plane-wave DFT calculation with PBE was carried out for a relaxed NaTc3Mo crystal.

Cell: 4.7529 4.7529 4.7529 Å, 90.00 90.00 90.00°
Atoms (fractional coordinates):
Tc 0.5000 0.0000 0.0000
Tc 0.0000 0.0000 0.5000
Na 0.5000 0.5000 0.5000
Mo 0.0000 0.0000 0.0000
Tc 0.0000 0.5000 0.0000

symmetry	Pm-3m, No. 221
energy relative to the elements	1.570	eV per atom
total magnetic moment	2.89	μB per formula unit
offset from the most stable computed form	0	meV/atom
mass density	6.4	g cm⁻³



Entry 6:
A plane-wave DFT calculation with PBE was carried out for a relaxed Ce4Si2H crystal.

Cell: 5.3110 5.4159 5.7594 Å, 82.98 90.00 90.00°
Atoms (fractional coordinates):
Ce 0.5000 0.9458 0.8977
Si 0.5000 0.4707 0.6915
Si 0.5000 0.8219 0.4093
H 0.0000 0.8802 0.9660
Ce 0.5000 0.3213 0.2056
Ce 0.0000 0.6584 0.3671
Ce 0.0000 0.4015 0.9630

symmetry	Pm, No. 6
total magnetic moment	2.46	μB per formula unit
offset from the most stable computed form	252	meV/atom
mass density	6.2	g cm⁻³